No. 1
A geometry-optimized Cd2ReIr structure, computed with GGA-PBEsol.

**Excess energy over the best structure of this formula in the dataset**: 0 meV per atom
**Magnetization**: 0.00 μB/cell

Structure (CIF):
```
data_Cd2ReIr
_chemical_formula_sum 'Cd4 Re2 Ir2'
_cell_length_a 2.909
_cell_length_b 4.723
_cell_length_c 9.548
_cell_angle_alpha 90.00
_cell_angle_beta 90.00
_cell_angle_gamma 90.00
_symmetry_space_group_name_H-M 'C m m m'
_symmetry_Int_Tables_number 65
_symmetry_space_group_name_Hall '-C 2 2'
loop_
_atom_site_label
_atom_site_type_symbol
_atom_site_fract_x
_atom_site_fract_y
_atom_site_fract_z
Cd1 Cd 0.000 0.000 0.245
Re1 Re 0.000 0.500 0.500
Ir1 Ir 0.000 0.500 0.000
```

***

No. 2
A geometry-optimized CdReIr2 structure, computed with GGA-PBEsol.

**Magnetization**: 0.00 μB/cell

Structure (CIF):
```
data_CdReIr2
_chemical_formula_sum 'Cd3 Re3 Ir6'
_cell_length_a 2.7607
_cell_length_b 2.7607
_cell_length_c 27.6335
_cell_angle_alpha 90.00
_cell_angle_beta 90.00
_cell_angle_gamma 120.00
_symmetry_space_group_name_H-M 'R 3 m'
_symmetry_Int_Tables_number 160
_symmetry_space_group_name_Hall 'R 3 -2"'
loop_
_atom_site_label
_atom_site_type_symbol
_atom_site_fract_x
_atom_site_fract_y
_atom_site_fract_z
Cd1 Cd 0.0000 0.0000 0.0000
Re1 Re 0.0000 0.0000 0.2431
Ir1 Ir 0.0000 0.0000 0.5007
Ir2 Ir 0.0000 0.0000 0.7529
```

***

No. 3
A geometry-optimized CdReIr2 structure, computed with GGA-PBEsol.

**Magnetization**: 0.00 μB/cell

Structure (CIF):
```
data_CdReIr2
_chemical_formula_sum 'Cd1 Re1 Ir2'
_cell_length_a 2.794
_cell_length_b 2.794
_cell_length_c 7.829
_cell_angle_alpha 90.00
_cell_angle_beta 90.00
_cell_angle_gamma 90.00
_symmetry_space_group_name_H-M 'P 4/m m m'
_symmetry_Int_Tables_number 123
_symmetry_space_group_name_Hall '-P 4 2'
loop_
_atom_site_label
_atom_site_type_symbol
_atom_site_fract_x
_atom_site_fract_y
_atom_site_fract_z
Cd1 Cd 0.000 0.000 0.000
Re1 Re 0.000 0.000 0.500
Ir1 Ir 0.500 0.500 0.273
```

***

No. 4
A geometry-optimized CdIr2Rh structure, computed with GGA-PBEsol.

**Magnetization**: 0.01 μB/cell

Structure (CIF):
```
data_CdIr2Rh
_chemical_formula_sum 'Cd1 Ir2 Rh1'
_cell_length_a 4.647
_cell_length_b 4.647
_cell_length_c 2.798
_cell_angle_alpha 90.00
_cell_angle_beta 90.00
_cell_angle_gamma 90.00
_symmetry_space_group_name_H-M 'P 4/m m m'
_symmetry_Int_Tables_number 123
_symmetry_space_group_name_Hall '-P 4 2'
loop_
_atom_site_label
_atom_site_type_symbol
_atom_site_fract_x
_atom_site_fract_y
_atom_site_fract_z
Cd1 Cd 0.000 0.000 0.000
Ir1 Ir 0.000 0.500 0.500
Rh1 Rh 0.500 0.500 0.000
```

***

No. 5
A geometry-optimized CdIrRh structure, computed with GGA-PBEsol.

**Magnetization**: 0.00 μB/cell

Structure (CIF):
```
data_CdIrRh
_chemical_formula_sum 'Cd4 Ir4 Rh4'
_cell_length_a 2.760
_cell_length_b 4.762
_cell_length_c 14.099
_cell_angle_alpha 90.00
_cell_angle_beta 90.00
_cell_angle_gamma 90.00
_symmetry_space_group_name_H-M 'F m m 2'
_symmetry_Int_Tables_number 42
_symmetry_space_group_name_Hall 'F 2 -2'
loop_
_atom_site_label
_atom_site_type_symbol
_atom_site_fract_x
_atom_site_fract_y
_atom_site_fract_z
Cd1 Cd 0.000 0.000 0.000
Ir1 Ir 0.000 0.000 0.326
Rh1 Rh 0.000 0.000 0.670
```

***

No. 6
A geometry-optimized CdIr4Rh structure, computed with GGA-PBEsol.

**Magnetization**: 0.06 μB/cell

Structure (CIF):
```
data_CdIr4Rh
_chemical_formula_sum 'Cd4 Ir16 Rh4'
_cell_length_a 7.251
_cell_length_b 7.251
_cell_length_c 7.251
_cell_angle_alpha 90.00
_cell_angle_beta 90.00
_cell_angle_gamma 90.00
_symmetry_space_group_name_H-M 'F -4 3 m'
_symmetry_Int_Tables_number 216
_symmetry_space_group_name_Hall 'F -4 2 3'
loop_
_atom_site_label
_atom_site_type_symbol
_atom_site_fract_x
_atom_site_fract_y
_atom_site_fract_z
Cd1 Cd 0.000 0.000 0.000
Ir1 Ir 0.125 0.125 0.625
Rh1 Rh 0.250 0.250 0.250
```

***

no.,calculated formation energy (meV per atom)
1,502
2,164
3,-96
4,430
5,248
6,540